A relaxed AgPt2F11 crystal, computed with PBE.

Cell lengths 8.2944, 8.2944, 8.2944 Å; angles 113.59, 112.81, 102.25 degrees
Positions (direct):
Ag (0.2500, 0.2500, 0.0000)
Ag (0.7500, 0.7500, 0.0000)
Pt (0.1589, 0.6584, 0.8173)
Pt (0.3411, 0.1584, 0.4995)
Pt (0.6589, 0.8416, 0.5005)
Pt (0.8411, 0.3416, 0.1827)
F (0.0000, 0.5000, 0.5000)
F (0.0765, 0.3656, 0.1786)
F (0.1035, 0.9216, 0.2883)
F (0.1333, 0.4216, 0.8181)
F (0.1870, 0.8979, 0.8214)
F (0.1949, 0.3034, 0.4983)
F (0.3051, 0.8034, 0.1085)
F (0.3130, 0.1344, 0.7109)
F (0.3667, 0.1848, 0.2883)
F (0.3965, 0.6848, 0.8181)
F (0.4235, 0.6021, 0.2891)
F (0.5000, 0.0000, 0.5000)
F (0.5765, 0.3979, 0.7109)
F (0.6035, 0.3152, 0.1819)
F (0.6333, 0.8152, 0.7117)
F (0.6870, 0.8656, 0.2891)
F (0.6949, 0.1966, 0.8915)
F (0.8051, 0.6966, 0.5017)
F (0.8130, 0.1021, 0.1786)
F (0.8667, 0.5784, 0.1819)
F (0.8965, 0.0784, 0.7117)
F (0.9235, 0.6344, 0.8214)

Summary:
Space-group type ... No. 72
Raw formation energy ... -1182 meV per atom
Total DFT energy (no corrections) ... -3.719 eV/atom